{"formula": "KLa2In", "functional": "PBE", "state": "relaxed", "energy_ev_per_cell": -51.3, "vol_a3_per_cell": 619.6, "formation_enthalpy_0k_ev_per_atom": 0.218, "lattice": [[9.385, 0.000, 0.000], [0.000, 9.385, 0.000], [0.000, 0.000, 7.035]], "species": ["K", "K", "K", "K", "La", "La", "La", "La", "La", "La", "La", "La", "In", "In", "In", "In"], "fractional_positions": [[0.000, 0.000, 0.000], [0.000, 0.500, 0.250], [0.500, 0.000, 0.750], [0.500, 0.500, 0.500], [0.217, 0.250, 0.625], [0.250, 0.717, 0.875], [0.250, 0.783, 0.375], [0.283, 0.250, 0.125], [0.717, 0.750, 0.125], [0.750, 0.217, 0.375], [0.750, 0.283, 0.875], [0.783, 0.750, 0.625], [0.000, 0.000, 0.500], [0.000, 0.500, 0.750], [0.500, 0.000, 0.250], [0.500, 0.500, 0.000]]}

***

{"formula": "KLa4In", "functional": "PBE", "state": "relaxed", "energy_ev_per_cell": -22.0, "vol_a3_per_cell": 222.3, "formation_enthalpy_0k_ev_per_atom": 0.257, "lattice": [[0.000, 4.808, 4.808], [4.808, 0.000, 4.808], [4.808, 4.808, 0.000]], "species": ["K", "La", "La", "La", "La", "In"], "fractional_positions": [[0.000, 0.000, 0.000], [0.141, 0.620, 0.620], [0.620, 0.141, 0.620], [0.620, 0.620, 0.141], [0.620, 0.620, 0.620], [0.250, 0.250, 0.250]]}

***

{"formula": "KLaNbInO6", "functional": "PBE", "state": "relaxed", "raw_formation_energy_mev_per_atom": -2362, "energy_ev_per_cell": -72.2, "vol_a3_per_cell": 140.8, "lattice": [[0.000, 4.129, 4.129], [4.129, 0.000, 4.129], [4.129, 4.129, 0.000]], "species": ["K", "La", "Nb", "In", "O", "O", "O", "O", "O", "O"], "fractional_positions": [[0.000, 0.000, 0.000], [0.500, 0.500, 0.500], [0.250, 0.250, 0.250], [0.750, 0.750, 0.750], [0.008, 0.008, 0.492], [0.008, 0.492, 0.008], [0.008, 0.492, 0.492], [0.492, 0.008, 0.008], [0.492, 0.008, 0.492], [0.492, 0.492, 0.008]]}

***

{"formula": "K2LaInNi", "functional": "PBE", "state": "relaxed", "energy_ev_per_cell": -13.9, "vol_a3_per_cell": 190.7, "formation_enthalpy_0k_ev_per_atom": 0.340, "lattice": [[6.009, 0.000, 0.000], [0.000, 6.009, 0.000], [0.000, 0.000, 5.280]], "species": ["K", "K", "La", "In", "Ni"], "fractional_positions": [[0.000, 0.500, 0.000], [0.500, 0.000, 0.000], [0.000, 0.000, 0.500], [0.500, 0.500, 0.500], [0.000, 0.000, 0.000]]}

***

{"formula": "K3La3InO8", "functional": "PBE", "state": "relaxed", "raw_formation_energy_mev_per_atom": -2312, "energy_ev_per_cell": -95.2, "vol_a3_per_cell": 289.5, "lattice": [[3.638, 2.100, 6.315], [-3.638, 2.100, 6.315], [0.000, -4.201, 6.315]], "species": ["K", "K", "K", "La", "La", "La", "In", "O", "O", "O", "O", "O", "O", "O", "O"], "fractional_positions": [[0.000, 0.500, 0.500], [0.500, 0.000, 0.500], [0.500, 0.500, 0.000], [0.000, 0.000, 0.500], [0.000, 0.500, 0.000], [0.500, 0.000, 0.000], [0.500, 0.500, 0.500], [0.229, 0.229, 0.229], [0.250, 0.716, 0.716], [0.284, 0.284, 0.750], [0.284, 0.750, 0.284], [0.716, 0.250, 0.716], [0.716, 0.716, 0.250], [0.750, 0.284, 0.284], [0.771, 0.771, 0.771]]}

***

{"formula": "K4La3InO8", "functional": "PBE", "state": "relaxed", "raw_formation_energy_mev_per_atom": -2342, "energy_ev_per_cell": -99.0, "vol_a3_per_cell": 288.5, "lattice": [[3.638, 2.100, 6.291], [-3.638, 2.100, 6.291], [0.000, -4.201, 6.291]], "species": ["K", "K", "K", "K", "La", "La", "La", "In", "O", "O", "O", "O", "O", "O", "O", "O"], "fractional_positions": [[0.000, 0.000, 0.000], [0.000, 0.500, 0.500], [0.500, 0.000, 0.500], [0.500, 0.500, 0.000], [0.000, 0.000, 0.500], [0.000, 0.500, 0.000], [0.500, 0.000, 0.000], [0.500, 0.500, 0.500], [0.230, 0.230, 0.230], [0.245, 0.724, 0.724], [0.276, 0.276, 0.755], [0.276, 0.755, 0.276], [0.724, 0.245, 0.724], [0.724, 0.724, 0.245], [0.755, 0.276, 0.276], [0.770, 0.770, 0.770]]}

***

{"formula": "KLa2InOs", "functional": "PBE", "state": "relaxed", "energy_ev_per_cell": -25.1, "vol_a3_per_cell": 171.4, "formation_enthalpy_0k_ev_per_atom": -0.034, "lattice": [[5.611, 0.000, 0.000], [0.000, 5.611, 0.000], [0.000, 0.000, 5.446]], "species": ["K", "La", "La", "In", "Os"], "fractional_positions": [[0.000, 0.000, 0.000], [0.000, 0.500, 0.500], [0.500, 0.000, 0.500], [0.500, 0.500, 0.000], [0.500, 0.500, 0.500]]}

***

{"formula": "KLaInPb", "functional": "PBE", "state": "relaxed", "energy_ev_per_cell": -53.2, "vol_a3_per_cell": 532.5, "formation_enthalpy_0k_ev_per_atom": -0.205, "lattice": [[8.106, 0.000, 0.000], [0.000, 8.106, 0.000], [0.000, 0.000, 8.106]], "species": ["K", "K", "K", "K", "La", "La", "La", "La", "In", "In", "In", "In", "Pb", "Pb", "Pb", "Pb"], "fractional_positions": [[0.000, 0.000, 0.000], [0.000, 0.500, 0.500], [0.500, 0.000, 0.500], [0.500, 0.500, 0.000], [0.000, 0.000, 0.500], [0.000, 0.500, 0.000], [0.500, 0.000, 0.000], [0.500, 0.500, 0.500], [0.250, 0.250, 0.750], [0.250, 0.750, 0.250], [0.750, 0.250, 0.250], [0.750, 0.750, 0.750], [0.250, 0.250, 0.250], [0.250, 0.750, 0.750], [0.750, 0.250, 0.750], [0.750, 0.750, 0.250]]}